Entry 1:
Density functional theory data (PBE-GGA) for a relaxed Rb2CrFe2Se4 crystal.

a b c (Å): 3.8236 8.1137 7.6869
angles (deg): 108.51 104.40 90.00
With the nearest neighbours (Å) after each atom.
Atoms (fractional coordinates):
Se (0.8121, 0.8256, 0.6243)  3 Fe 2.47-2.51, 1 Cr 2.69
Fe (0.3078, 0.0235, 0.6155)  4 Se 2.47-2.51, 2 Fe 2.52
Se (0.5223, 0.7997, 0.0446)  1 Fe 2.47, 2 Cr 2.60
Cr (0.0000, 0.0000, 0.0000)  6 Se 2.60-2.69
Fe (0.6922, 0.9765, 0.3845)  4 Se 2.47-2.51, 2 Fe 2.52
Se (0.4777, 0.2003, 0.9554)  1 Fe 2.47, 2 Cr 2.60
Rb (0.8691, 0.4475, 0.7382)  7 Se 3.44-3.57, 3 Rb 3.71-3.82, 2 Fe 3.78
Rb (0.1309, 0.5525, 0.2618)  7 Se 3.44-3.57, 3 Rb 3.71-3.82, 2 Fe 3.78
Se (0.1879, 0.1744, 0.3757)  3 Fe 2.47-2.51, 1 Cr 2.69

Values from the calculation:
The total energy is -5.29 eV/atom. As for the spin magnetization: 9.6 μB/f.u. For the raw formation energy, the calculation gives -13.4 kcal/mol of atoms. The crystal system is monoclinic.

***

Entry 2:
Density functional theory data (PBE-GGA) for a relaxed YCuP2 crystal.

a b c (Å): 4.2649 4.2485 3.7666
angles (deg): 90.00 90.00 90.00
With the nearest neighbours (Å) after each atom.
Atoms (fractional coordinates):
P (0.5000, 0.5000, 0.0000)  4 Y 2.84, 4 Cu 2.85, 4 P 3.01
Y (0.5000, 0.0000, 0.5000)  8 P 2.84-2.85, 4 Cu 3.01
P (0.0000, 0.0000, 0.0000)  4 Cu 2.84, 4 Y 2.85, 4 P 3.01
Cu (0.0000, 0.5000, 0.5000)  8 P 2.84-2.85, 4 Y 3.01

Values from the calculation:
The total energy is -5.79 eV/atom. As for the spin magnetization: 0.0 μB/f.u. Its formation energy is -0.45 eV/atom. The crystal system is orthorhombic.

***

Entry 3:
Density functional theory data (PBE-GGA) for a relaxed Sc3NiAu crystal.

a b c (Å): 4.8117 4.8117 4.8117
angles (deg): 90.00 90.00 90.00
With the nearest neighbours (Å) after each atom.
Atoms (fractional coordinates):
Ni (0.0000, 0.0000, 0.0000)  6 Sc 2.41
Sc (0.0000, 0.0000, 0.5000)  2 Ni 2.41
Sc (0.5000, 0.0000, 0.0000)  2 Ni 2.41
Sc (0.0000, 0.5000, 0.0000)  2 Ni 2.41
Au (0.5000, 0.5000, 0.5000)  12 Sc 3.40

Values from the calculation:
The total energy is -5.78 eV/atom. As for the spin magnetization: 0.0 μB/f.u. Its formation energy is -0.17 eV/atom. The polymorph energy (0 for the lowest one) is 0 meV per atom. The crystal system is cubic.